Record 1
A relaxed structure of MnNi4H8, computed with PBE.

The structure in POSCAR format:
```
MnNi4H8
1.0
4.947 -0.129 -1.285
-2.911 4.100 -0.924
-0.352 -0.311 4.727
H Mn Ni
8 1 4
Direct
0.740 0.025 0.243
0.797 0.954 0.752
0.260 0.975 0.757
0.683 0.509 0.192
0.781 0.496 0.757
0.219 0.504 0.243
0.203 0.046 0.248
0.317 0.491 0.808
0.000 0.500 0.500
0.331 0.825 0.156
0.752 0.752 0.000
0.248 0.248 0.000
0.669 0.175 0.844
```

Space-group type: No. 12
Crystal system: monoclinic
N(E_F) (states/eV per cell): 3.6
V (Å³ per cell): 89.6

***

Record 2
A relaxed structure of MnNi5H4, computed with PBE.

The structure in POSCAR format:
```
MnNi5H4
1.0
-2.170 -0.800 -1.219
0.531 -4.709 2.145
-2.082 3.223 4.395
H Ni Mn
4 5 1
Direct
0.999 0.730 0.998
0.676 0.098 0.352
0.324 0.902 0.648
0.001 0.270 0.002
0.834 0.171 0.668
0.500 0.500 0.000
0.169 0.339 0.337
0.831 0.661 0.663
0.166 0.829 0.332
0.500 0.000 0.000
```

Space-group type: No. 12
Crystal system: monoclinic
N(E_F) (states/eV per cell): 5.5
V (Å³ per cell): 75.2

***

Record 3
A relaxed structure of MnNi3H, computed with PBE.

The structure in POSCAR format:
```
MnNi3H
1.0
-3.623 -0.697 2.295
0.241 -4.999 -1.039
2.237 -0.589 3.353
Ni H Mn
6 2 2
Direct
0.990 0.704 0.575
0.149 0.462 0.075
0.152 0.944 0.081
0.490 0.957 0.577
0.649 0.209 0.077
0.987 0.222 0.581
0.826 0.968 0.822
0.313 0.198 0.322
0.492 0.476 0.578
0.647 0.689 0.078
```

Space-group type: No. 4
Polymorph energy (0 for the lowest one) (meV per atom): 148
Crystal system: monoclinic
N(E_F) (states/eV per cell): 10.1
V (Å³ per cell): 90.5

***

| no. | magnetization (μB/atom) | DFT total energy (eV per atom) |
| --- | --- | --- |
| 1 | 0.3257 | -4.4955 |
| 2 | 0.4237 | -5.1841 |
| 3 | 0.0000 | -5.9270 |